## a
# Co

A relaxed structure of Co (PBE, OQMD).

Its space group is P4_132, No. 213. The calculation puts the magnetic moment at 1.6228 μB/atom.

abc: 6.008 6.008 6.008
angles: 90.00 90.00 90.00
Element x y z (fractional)
1 Co 0.375 0.801 0.949
2 Co 0.557 0.443 0.943
3 Co 0.051 0.875 0.699
4 Co 0.193 0.807 0.307
5 Co 0.449 0.125 0.199
6 Co 0.551 0.625 0.301
7 Co 0.057 0.057 0.057
8 Co 0.801 0.949 0.375
9 Co 0.699 0.051 0.875
10 Co 0.301 0.551 0.625
11 Co 0.307 0.193 0.807
12 Co 0.199 0.449 0.125
13 Co 0.875 0.699 0.051
14 Co 0.949 0.375 0.801
15 Co 0.943 0.557 0.443
16 Co 0.125 0.199 0.449
17 Co 0.693 0.693 0.693
18 Co 0.625 0.301 0.551
19 Co 0.443 0.943 0.557
20 Co 0.807 0.307 0.193

---

## b
# Co

A relaxed structure of Co (PBE, OQMD).

Its space group is P-3m1, No. 164. The calculation puts the magnetic moment at 1.6699 μB/atom.

abc: 2.460 2.460 19.943
angles: 90.00 90.00 120.00
Element x y z (fractional)
1 Co 0.667 0.333 0.052
2 Co 0.667 0.333 0.850
3 Co 0.333 0.667 0.150
4 Co 0.333 0.667 0.948

---

Question: which arrangement is favored energetically? Ranking from most to least stable: a, b.